## In2TcRh (PBE)

Data for crystalline In2TcRh at its relaxed geometry.

Cell lengths 5.869, 5.869, 5.869 Å; angles 150.45, 133.32, 56.23 degrees
Last column: magnetic moment on the atom in μB.
Sites, in units of the cell vectors:
In 0.018 0.018 0.000  0.00
In 0.730 0.230 0.500  -0.01
Rh 0.483 0.483 0.000  0.06
Tc 0.270 0.770 0.500  0.25

total magnetic moment: 0.31 Bohr magnetons per cell
density of states at the Fermi level: 3.898 states/eV/cell
ΔH_f (0 K): 0.117 eV per atom



## La10Pr4Dy (PBE)

Data for crystalline La10Pr4Dy at its relaxed geometry.

Cell lengths 10.533, 8.882, 8.882 Å; angles 69.42, 53.64, 53.64 degrees
Sites, in units of the cell vectors:
La 0.250 0.500 0.500
La 0.545 0.313 0.917
La 0.143 0.083 0.313
La 0.539 0.917 0.687
La 0.774 0.687 0.083
La 0.455 0.687 0.083
La 0.750 0.500 0.500
La 0.226 0.313 0.917
La 0.461 0.083 0.313
La 0.857 0.917 0.687
Pr 0.324 0.726 0.626
Pr 0.950 0.374 0.726
Pr 0.050 0.626 0.274
Pr 0.676 0.274 0.374
Dy 0.000 0.000 0.000

total magnetic moment: 0.00 Bohr magnetons per cell
density of states at the Fermi level: 21.506 states/eV/cell
ΔH_f (0 K): 0.251 eV per atom



## ZrCr2Os (PBE)

Data for crystalline ZrCr2Os at its relaxed geometry.

Cell lengths 8.620, 8.620, 8.620 Å; angles 19.11, 19.11, 19.11 degrees
Sites, in units of the cell vectors:
Cr 0.987 0.987 0.987
Cr 0.256 0.256 0.256
Os 0.511 0.511 0.511
Zr 0.747 0.747 0.747

total magnetic moment: 0.00 Bohr magnetons per cell
density of states at the Fermi level: 3.725 states/eV/cell
ΔH_f (0 K): 0.351 eV per atom



## La9Tb4Ho (PBE)

Data for crystalline La9Tb4Ho at its relaxed geometry.

Cell lengths 11.557, 10.050, 10.050 Å; angles 120.00, 90.00, 90.00 degrees
Sites, in units of the cell vectors:
La 0.030 0.793 0.585
La 0.030 0.793 0.207
La 0.030 0.415 0.207
La 0.970 0.207 0.415
La 0.970 0.207 0.793
La 0.970 0.585 0.793
La 0.530 0.207 0.415
La 0.530 0.207 0.793
La 0.530 0.585 0.793
La 0.470 0.793 0.585
La 0.470 0.793 0.207
La 0.470 0.415 0.207
La 0.250 0.461 0.921
La 0.250 0.461 0.539
La 0.250 0.079 0.539
La 0.750 0.539 0.079
La 0.750 0.539 0.461
La 0.750 0.921 0.461
Tb 0.250 0.110 0.220
Tb 0.250 0.110 0.890
Tb 0.250 0.780 0.890
Tb 0.750 0.890 0.780
Tb 0.750 0.890 0.110
Tb 0.750 0.220 0.110
Tb 0.000 0.000 0.000
Tb 0.500 0.000 0.000
Ho 0.250 0.667 0.333
Ho 0.750 0.333 0.667

total magnetic moment: 0.00 Bohr magnetons per cell
density of states at the Fermi level: 45.879 states/eV/cell
ΔH_f (0 K): 0.144 eV per atom



## In2RuWI (PBE)

Data for crystalline In2RuWI at its relaxed geometry.

Cell lengths 5.143, 5.311, 5.143 Å; angles 90.00, 90.00, 90.00 degrees
Last column: magnetic moment on the atom in μB.
Sites, in units of the cell vectors:
I 0.000 0.500 0.000  -0.04
Ru 0.000 0.000 0.000  0.00
W 0.500 0.500 0.500  3.27
In 0.000 0.000 0.500  -0.02
In 0.500 0.000 0.000  0.01

total magnetic moment: 4.47 Bohr magnetons per cell
density of states at the Fermi level: 4.729 states/eV/cell
E_form (uncorrected): 1.467 eV/atom



What did the fourth record say?
## La9Tb4Ho (PBE)

Data for crystalline La9Tb4Ho at its relaxed geometry.

Cell lengths 11.557, 10.050, 10.050 Å; angles 120.00, 90.00, 90.00 degrees
Sites, in units of the cell vectors:
La 0.030 0.793 0.585
La 0.030 0.793 0.207
La 0.030 0.415 0.207
La 0.970 0.207 0.415
La 0.970 0.207 0.793
La 0.970 0.585 0.793
La 0.530 0.207 0.415
La 0.530 0.207 0.793
La 0.530 0.585 0.793
La 0.470 0.793 0.585
La 0.470 0.793 0.207
La 0.470 0.415 0.207
La 0.250 0.461 0.921
La 0.250 0.461 0.539
La 0.250 0.079 0.539
La 0.750 0.539 0.079
La 0.750 0.539 0.461
La 0.750 0.921 0.461
Tb 0.250 0.110 0.220
Tb 0.250 0.110 0.890
Tb 0.250 0.780 0.890
Tb 0.750 0.890 0.780
Tb 0.750 0.890 0.110
Tb 0.750 0.220 0.110
Tb 0.000 0.000 0.000
Tb 0.500 0.000 0.000
Ho 0.250 0.667 0.333
Ho 0.750 0.333 0.667

total magnetic moment: 0.00 Bohr magnetons per cell
density of states at the Fermi level: 45.879 states/eV/cell
ΔH_f (0 K): 0.144 eV per atom



- The lowest density of states at the Fermi level belongs to which entry?
  ZrCr2Os



Copy entry 3 word for word.
## ZrCr2Os (PBE)

Data for crystalline ZrCr2Os at its relaxed geometry.

Cell lengths 8.620, 8.620, 8.620 Å; angles 19.11, 19.11, 19.11 degrees
Sites, in units of the cell vectors:
Cr 0.987 0.987 0.987
Cr 0.256 0.256 0.256
Os 0.511 0.511 0.511
Zr 0.747 0.747 0.747

total magnetic moment: 0.00 Bohr magnetons per cell
density of states at the Fermi level: 3.725 states/eV/cell
ΔH_f (0 K): 0.351 eV per atom



- Which value of density of states at the Fermi level does entry 2 give?
  21.506 states/eV/cell